The following is a DFT calculation (GGA-PBEsol) of a relaxed structure of Y3Mg.

Cell and atoms, written as extended XYZ:
```
4
Lattice="-2.443 2.443 4.784 2.443 -2.443 4.784 2.443 2.443 -4.784" Properties=species:S:1:pos:R:3 pbc="T T T"
Y 0.000 0.000 0.000
Y 2.443 0.000 2.392
Y 0.000 2.443 2.392
Mg 0.000 0.000 4.784
```

Output
As for the energy of formation from the pure elements: 0.03 eV per atom. As for the space group: I4/mmm, No. 139. The value obtained for the uncorrected energy is -5.519 eV/atom. The density of states at the Fermi level is 5.59 states/eV per cell.